1.
A plane-wave DFT calculation with PBE was carried out for Rb2HgCl4 after structural relaxation.

Unit cell a=7.5709 b=7.3421 c=9.2291 alpha=90.00 beta=108.82 gamma=90.00
Fractional coordinates of all 14 atoms:
Cl (0.4387, 0.7453, 0.1276)
Cl (0.9979, 0.9970, 0.2357)
Cl (0.0036, 0.4837, 0.2389)
Cl (0.5756, 0.2553, 0.4183)
Cl (0.4244, 0.7553, 0.5817)
Cl (0.9964, 0.9837, 0.7611)
Cl (0.0021, 0.4970, 0.7643)
Cl (0.5613, 0.2453, 0.8724)
Hg (0.2417, 0.7417, 0.3002)
Hg (0.7583, 0.2417, 0.6998)
Rb (0.2636, 0.2393, 0.0657)
Rb (0.7936, 0.7357, 0.4481)
Rb (0.2064, 0.2357, 0.5519)
Rb (0.7364, 0.7393, 0.9343)

Total DFT energy (no corrections): -2.7643 eV/atom

***

2.
A plane-wave DFT calculation with PBE was carried out for Rb2HgCl4 after structural relaxation.

Unit cell a=7.6511 b=7.3709 c=9.1690 alpha=90.00 beta=108.24 gamma=90.00
Fractional coordinates of all 14 atoms:
Cl (0.4343, 0.2500, 0.1259)
Cl (0.0074, 0.5054, 0.2427)
Cl (0.0074, 0.9946, 0.2427)
Cl (0.5690, 0.7500, 0.4153)
Cl (0.4310, 0.2500, 0.5847)
Cl (0.9926, 0.0054, 0.7573)
Cl (0.9926, 0.4946, 0.7573)
Cl (0.5657, 0.7500, 0.8741)
Hg (0.2454, 0.2500, 0.3053)
Hg (0.7546, 0.7500, 0.6947)
Rb (0.2587, 0.7500, 0.0622)
Rb (0.7879, 0.2500, 0.4444)
Rb (0.2121, 0.7500, 0.5556)
Rb (0.7413, 0.2500, 0.9378)

Total DFT energy (no corrections): -2.7654 eV/atom

***

3.
A plane-wave DFT calculation with PBE was carried out for Rb2HgSbCl6 after structural relaxation.

Unit cell a=4.8718 b=4.8718 c=13.9091 alpha=90.00 beta=90.00 gamma=90.00
Fractional coordinates of all 10 atoms:
Cl (0.5000, 0.5000, 0.0000)
Cl (0.5000, 0.0000, 0.1301)
Cl (0.0000, 0.5000, 0.1301)
Cl (0.5000, 0.5000, 0.5000)
Cl (0.5000, 0.0000, 0.8699)
Cl (0.0000, 0.5000, 0.8699)
Hg (0.0000, 0.0000, 0.5000)
Rb (0.5000, 0.5000, 0.2763)
Rb (0.5000, 0.5000, 0.7237)
Sb (0.0000, 0.0000, 0.0000)

Total DFT energy (no corrections): -2.4764 eV/atom

***

4.
A plane-wave DFT calculation with PBE was carried out for ZnHgSe3S3Cl15 after structural relaxation.

Unit cell a=11.4468 b=11.4468 c=11.8276 alpha=90.25 beta=90.25 gamma=60.27
Fractional coordinates of all 46 atoms:
Cl (0.1153, 0.7816, 0.0598)
Cl (0.1054, 0.1215, 0.0635)
Cl (0.7718, 0.1064, 0.0653)
Cl (0.4861, 0.6170, 0.2243)
Cl (0.8887, 0.5014, 0.2266)
Cl (0.1435, 0.6178, 0.2282)
Cl (0.6063, 0.8920, 0.2314)
Cl (0.2402, 0.1452, 0.2360)
Cl (0.6141, 0.2428, 0.2399)
Cl (0.8940, 0.2191, 0.3206)
Cl (0.8887, 0.8891, 0.3213)
Cl (0.2077, 0.8942, 0.3245)
Cl (0.1576, 0.5038, 0.3712)
Cl (0.3402, 0.1536, 0.3821)
Cl (0.5134, 0.3421, 0.3868)
Cl (0.7816, 0.1153, 0.5598)
Cl (0.1215, 0.1054, 0.5635)
Cl (0.1064, 0.7718, 0.5653)
Cl (0.6170, 0.4861, 0.7243)
Cl (0.5014, 0.8887, 0.7266)
Cl (0.6178, 0.1435, 0.7282)
Cl (0.8920, 0.6063, 0.7314)
Cl (0.1452, 0.2402, 0.7360)
Cl (0.2428, 0.6141, 0.7399)
Cl (0.2191, 0.8940, 0.8206)
Cl (0.8891, 0.8887, 0.8213)
Cl (0.8942, 0.2077, 0.8245)
Cl (0.5038, 0.1576, 0.8712)
Cl (0.1536, 0.3402, 0.8821)
Cl (0.3421, 0.5134, 0.8868)
Hg (0.3405, 0.3264, 0.0793)
Hg (0.3264, 0.3405, 0.5793)
S (0.7040, 0.4739, 0.0084)
S (0.4793, 0.8197, 0.0100)
S (0.8161, 0.7067, 0.0134)
S (0.4739, 0.7040, 0.5084)
S (0.8197, 0.4793, 0.5100)
S (0.7067, 0.8161, 0.5134)
Se (0.9526, 0.3707, 0.3852)
Se (0.3600, 0.6829, 0.3858)
Se (0.6814, 0.9504, 0.3897)
Se (0.3707, 0.9526, 0.8852)
Se (0.6829, 0.3600, 0.8858)
Se (0.9504, 0.6814, 0.8897)
Zn (0.9959, 0.0059, 0.0762)
Zn (0.0059, 0.9959, 0.5762)

Total DFT energy (no corrections): -2.3956 eV/atom

***

5.
A plane-wave DFT calculation with PBE was carried out for SiHg3S2Cl6 after structural relaxation.

Unit cell a=8.1761 b=8.1761 c=6.0167 alpha=90.00 beta=90.00 gamma=120.00
Fractional coordinates of all 12 atoms:
Cl (0.1284, 0.2567, 0.2880)
Cl (0.1284, 0.8716, 0.2880)
Cl (0.7433, 0.8716, 0.2880)
Cl (0.2567, 0.1284, 0.7120)
Cl (0.8716, 0.1284, 0.7120)
Cl (0.8716, 0.7433, 0.7120)
Hg (0.5000, 0.0000, 0.0000)
Hg (0.0000, 0.5000, 0.0000)
Hg (0.5000, 0.5000, 0.0000)
S (0.3333, 0.6667, 0.0951)
S (0.6667, 0.3333, 0.9049)
Si (0.0000, 0.0000, 0.5000)

Total DFT energy (no corrections): -2.6791 eV/atom

***

6.
A plane-wave DFT calculation with PBE was carried out for ZrHg3S2Cl6 after structural relaxation.

Unit cell a=13.1695 b=7.4721 c=6.6635 alpha=90.00 beta=91.54 gamma=90.00
Fractional coordinates of all 24 atoms:
Cl (0.9403, 0.8526, 0.1813)
Cl (0.4403, 0.6474, 0.1813)
Cl (0.6687, 0.4497, 0.3524)
Cl (0.1687, 0.0503, 0.3524)
Cl (0.9356, 0.2905, 0.3662)
Cl (0.4356, 0.2095, 0.3662)
Cl (0.5644, 0.7905, 0.6338)
Cl (0.0644, 0.7095, 0.6338)
Cl (0.8313, 0.9497, 0.6476)
Cl (0.3313, 0.5503, 0.6476)
Cl (0.5597, 0.3526, 0.8187)
Cl (0.0597, 0.1474, 0.8187)
Hg (0.5000, 0.0000, 0.0000)
Hg (0.0000, 0.5000, 0.0000)
Hg (0.2600, 0.2960, 0.0083)
Hg (0.7600, 0.2040, 0.0083)
Hg (0.2400, 0.7960, 0.9917)
Hg (0.7400, 0.7040, 0.9917)
S (0.1682, 0.5397, 0.1597)
S (0.6682, 0.9604, 0.1597)
S (0.3318, 0.0397, 0.8403)
S (0.8318, 0.4604, 0.8403)
Zr (0.0000, 0.0000, 0.5000)
Zr (0.5000, 0.5000, 0.5000)

Total DFT energy (no corrections): -3.3829 eV/atom
Total magnetization: 0.00 μB per cell